# Tb5ZrAs6, optimized geometry, DFT PBE
data_Tb5ZrAs6
_chemical_formula_sum 'Tb10 Zr2 As12'
_cell_length_a 7.078
_cell_length_b 12.251
_cell_length_c 7.078
_cell_angle_alpha 90.00
_cell_angle_beta 109.49
_cell_angle_gamma 90.00
_symmetry_space_group_name_H-M 'C 1 2/m 1'
_symmetry_Int_Tables_number 12
loop_
_symmetry_equiv_pos_as_xyz
'x,y,z'
'-x,-y,-z'
'-x,y,-z'
'x,-y,z'
'x+1/2,y+1/2,z'
'-x+1/2,-y+1/2,-z'
'-x+1/2,y+1/2,-z'
'x+1/2,-y+1/2,z'
loop_
_atom_site_label
_atom_site_type_symbol
_atom_site_fract_x
_atom_site_fract_y
_atom_site_fract_z
Tb1 Tb 0.000 0.000 0.000
Tb2 Tb 0.000 0.166 0.500
Tb3 Tb 0.000 0.331 0.000
Zr1 Zr 0.000 0.500 0.500
As1 As 0.242 0.500 0.254
As2 As 0.243 0.338 0.744
# Crystal system: monoclinic

# Tb5Zr3As8, optimized geometry, DFT PBE
data_Tb5Zr3As8
_chemical_formula_sum 'Tb15 Zr9 As24'
_cell_length_a 8.0371
_cell_length_b 8.0371
_cell_length_c 19.8179
_cell_angle_alpha 90.00
_cell_angle_beta 90.00
_cell_angle_gamma 120.00
_symmetry_space_group_name_H-M 'R -3 m'
_symmetry_Int_Tables_number 166
_symmetry_space_group_name_Hall '-R 3 2"'
loop_
_atom_site_label
_atom_site_type_symbol
_atom_site_fract_x
_atom_site_fract_y
_atom_site_fract_z
Tb1 Tb 0.0000 0.0000 0.0000
Tb2 Tb 0.0000 0.0000 0.5000
Tb3 Tb 0.0000 0.5000 0.0000
Zr1 Zr 0.0000 0.5000 0.5000
As1 As 0.0000 0.0000 0.2451
As2 As 0.0069 0.5035 0.7534
# Crystal system: trigonal

# Tc5As, optimized geometry, DFT PBE
data_Tc5As
_chemical_formula_sum 'Tc20 As4'
_cell_length_a 7.229
_cell_length_b 7.229
_cell_length_c 7.229
_cell_angle_alpha 90.00
_cell_angle_beta 90.00
_cell_angle_gamma 90.00
_symmetry_space_group_name_H-M 'F -4 3 m'
_symmetry_Int_Tables_number 216
_symmetry_space_group_name_Hall 'F -4 2 3'
loop_
_atom_site_label
_atom_site_type_symbol
_atom_site_fract_x
_atom_site_fract_y
_atom_site_fract_z
Tc1 Tc 0.000 0.000 0.000
Tc2 Tc 0.124 0.124 0.624
As1 As 0.250 0.250 0.250
# Crystal system: cubic
# Polymorph energy (0 for the lowest one) (meV per atom): 548.7

# TcAs3, optimized geometry, DFT PBE
data_TcAs3
_chemical_formula_sum 'Tc3 As9'
_cell_length_a 3.1117
_cell_length_b 3.1117
_cell_length_c 25.5588
_cell_angle_alpha 90.00
_cell_angle_beta 90.00
_cell_angle_gamma 120.00
_symmetry_space_group_name_H-M 'R -3 m'
_symmetry_Int_Tables_number 166
_symmetry_space_group_name_Hall '-R 3 2"'
loop_
_atom_site_label
_atom_site_type_symbol
_atom_site_fract_x
_atom_site_fract_y
_atom_site_fract_z
Tc1 Tc 0.0000 0.0000 0.0000
As1 As 0.0000 0.0000 0.2630
As2 As 0.0000 0.0000 0.5000
# Crystal system: trigonal
# Polymorph energy (0 for the lowest one) (meV per atom): 153.0

# TcAs, optimized geometry, DFT PBE
data_TcAs
_chemical_formula_sum 'Tc4 As4'
_cell_length_a 5.093
_cell_length_b 5.093
_cell_length_c 5.093
_cell_angle_alpha 90.00
_cell_angle_beta 90.00
_cell_angle_gamma 90.00
_symmetry_space_group_name_H-M 'F m -3 m'
_symmetry_Int_Tables_number 225
_symmetry_space_group_name_Hall '-F 4 2 3'
loop_
_atom_site_label
_atom_site_type_symbol
_atom_site_fract_x
_atom_site_fract_y
_atom_site_fract_z
Tc1 Tc 0.000 0.000 0.000
As1 As 0.000 0.000 0.500
# Crystal system: cubic
# Polymorph energy (0 for the lowest one) (meV per atom): 596.7

# TcAs, optimized geometry, DFT PBE
data_TcAs
_chemical_formula_sum 'Tc4 As4'
_cell_length_a 5.909
_cell_length_b 5.909
_cell_length_c 4.614
_cell_angle_alpha 90.00
_cell_angle_beta 90.00
_cell_angle_gamma 90.00
_symmetry_space_group_name_H-M 'P 42/m n m'
_symmetry_Int_Tables_number 136
_symmetry_space_group_name_Hall '-P 4n 2n'
loop_
_atom_site_label
_atom_site_type_symbol
_atom_site_fract_x
_atom_site_fract_y
_atom_site_fract_z
Tc1 Tc 0.171 0.171 0.000
As1 As 0.232 0.768 0.000
# Crystal system: tetragonal
# Polymorph energy (0 for the lowest one) (meV per atom): 618.5

# TcAs, optimized geometry, DFT PBE
data_TcAs
_chemical_formula_sum 'Tc4 As4'
_cell_length_a 3.075
_cell_length_b 4.143
_cell_length_c 9.621
_cell_angle_alpha 90.00
_cell_angle_beta 90.00
_cell_angle_gamma 90.00
_symmetry_space_group_name_H-M 'I m m a'
_symmetry_Int_Tables_number 74
_symmetry_space_group_name_Hall '-I 2b 2'
loop_
_atom_site_label
_atom_site_type_symbol
_atom_site_fract_x
_atom_site_fract_y
_atom_site_fract_z
Tc1 Tc 0.000 0.250 0.115
As1 As 0.000 0.250 0.612
# Crystal system: orthorhombic
# Polymorph energy (0 for the lowest one) (meV per atom): 281.5

# Tc5As, optimized geometry, DFT PBE
data_Tc5As
_chemical_formula_sum 'Tc10 As2'
_cell_length_a 10.026
_cell_length_b 2.849
_cell_length_c 6.428
_cell_angle_alpha 90.00
_cell_angle_beta 105.69
_cell_angle_gamma 90.00
_symmetry_space_group_name_H-M 'C 1 m 1'
_symmetry_Int_Tables_number 8
loop_
_symmetry_equiv_pos_as_xyz
'x,y,z'
'x,-y,z'
'x+1/2,y+1/2,z'
'x+1/2,-y+1/2,z'
loop_
_atom_site_label
_atom_site_type_symbol
_atom_site_fract_x
_atom_site_fract_y
_atom_site_fract_z
Tc1 Tc 0.000 0.000 0.000
Tc2 Tc 0.050 0.000 0.631
Tc3 Tc 0.225 0.500 0.973
Tc4 Tc 0.331 0.000 0.682
Tc5 Tc 0.414 0.000 0.282
As1 As 0.187 0.500 0.358
# Crystal system: monoclinic
# Polymorph energy (0 for the lowest one) (meV per atom): 0.0

# TcAs, optimized geometry, DFT PBE
data_TcAs
_chemical_formula_sum 'Tc2 As2'
_cell_length_a 2.937
_cell_length_b 2.937
_cell_length_c 7.894
_cell_angle_alpha 90.00
_cell_angle_beta 90.00
_cell_angle_gamma 90.00
_symmetry_space_group_name_H-M 'P 4/n m m'
_symmetry_Int_Tables_number 129
loop_
_symmetry_equiv_pos_as_xyz
'x,y,z'
'-x,-y,-z'
'-y+1/2,x,z'
'y+1/2,-x,-z'
'-x+1/2,-y+1/2,z'
'x+1/2,y+1/2,-z'
'y,-x+1/2,z'
'-y,x+1/2,-z'
'x+1/2,-y,-z'
'-x+1/2,y,z'
'-y,-x,-z'
'y,x,z'
'-x,y+1/2,-z'
'x,-y+1/2,z'
'y+1/2,x+1/2,-z'
'-y+1/2,-x+1/2,z'
loop_
_atom_site_label
_atom_site_type_symbol
_atom_site_fract_x
_atom_site_fract_y
_atom_site_fract_z
Tc1 Tc 0.250 0.250 0.109
As1 As 0.250 0.250 0.683
# Crystal system: tetragonal
# Polymorph energy (0 for the lowest one) (meV per atom): 140.0

# TcAs, optimized geometry, DFT PBE
data_TcAs
_chemical_formula_sum 'Tc4 As4'
_cell_length_a 6.075
_cell_length_b 3.187
_cell_length_c 6.432
_cell_angle_alpha 90.00
_cell_angle_beta 90.00
_cell_angle_gamma 90.00
_symmetry_space_group_name_H-M 'P n m a'
_symmetry_Int_Tables_number 62
loop_
_symmetry_equiv_pos_as_xyz
'x,y,z'
'-x,-y,-z'
'-x+1/2,-y,z+1/2'
'x+1/2,y,-z+1/2'
'x+1/2,-y+1/2,-z+1/2'
'-x+1/2,y+1/2,z+1/2'
'-x,y+1/2,-z'
'x,-y+1/2,z'
loop_
_atom_site_label
_atom_site_type_symbol
_atom_site_fract_x
_atom_site_fract_y
_atom_site_fract_z
Tc1 Tc 0.011 0.250 0.195
As1 As 0.194 0.250 0.561
# Crystal system: orthorhombic
# Polymorph energy (0 for the lowest one) (meV per atom): 0.0

# Tc5As3, optimized geometry, DFT PBE
data_Tc5As3
_chemical_formula_sum 'Tc10 As6'
_cell_length_a 6.225
_cell_length_b 8.735
_cell_length_c 4.327
_cell_angle_alpha 90.00
_cell_angle_beta 90.00
_cell_angle_gamma 90.00
_symmetry_space_group_name_H-M 'C m m m'
_symmetry_Int_Tables_number 65
_symmetry_space_group_name_Hall '-C 2 2'
loop_
_atom_site_label
_atom_site_type_symbol
_atom_site_fract_x
_atom_site_fract_y
_atom_site_fract_z
Tc1 Tc 0.000 0.000 0.000
Tc2 Tc 0.244 0.500 0.500
Tc3 Tc 0.250 0.250 0.000
As1 As 0.000 0.230 0.500
As2 As 0.000 0.500 0.000
# Crystal system: orthorhombic
# Polymorph energy (0 for the lowest one) (meV per atom): 50.1

# Tc2As, optimized geometry, DFT PBE
data_Tc2As
_chemical_formula_sum 'Tc4 As2'
_cell_length_a 2.982
_cell_length_b 2.982
_cell_length_c 9.773
_cell_angle_alpha 90.00
_cell_angle_beta 90.00
_cell_angle_gamma 90.00
_symmetry_space_group_name_H-M 'I 4/m m m'
_symmetry_Int_Tables_number 139
_symmetry_space_group_name_Hall '-I 4 2'
loop_
_atom_site_label
_atom_site_type_symbol
_atom_site_fract_x
_atom_site_fract_y
_atom_site_fract_z
Tc1 Tc 0.000 0.000 0.160
As1 As 0.000 0.000 0.500
# Crystal system: tetragonal
# Polymorph energy (0 for the lowest one) (meV per atom): 75.3

Looking at energy relative to the elements for the records above, in order, we have -1.4722; -1.3730; 0.5767; 0.0874; 0.3934; 0.4153; 0.0782; 0.0280; -0.0632; -0.2033; 0.0631; -0.0626 eV/atom.
Looking at volume for the records above, in order, we have 578.6; 1108.6; 377.8; 214.3; 132.1; 161.1; 122.6; 176.8; 68.1; 124.5; 235.3; 86.9 Å³ per cell.